## YMnZn2Os (PBE)

Data for a relaxed structure of YMnZn2Os.

```
YMnZn2Os
1.0
-1.2999 -4.4559 2.4390
4.5999 -1.7173 -0.6859
1.4613 2.0831 4.5846
Y Zn Mn Os
1 2 1 1
direct
0.0000 0.0000 0.0000 Y
0.0000 0.0000 0.5000 Zn
0.5000 0.0000 0.0000 Zn
0.5000 0.5000 0.5000 Mn
0.0000 0.5000 0.0000 Os
```

Calculated formation energy: 1.70 eV/atom
Crystal system: tetragonal